[1]
An optimized crystal structure of Ca2SiGePt6. Source: the Alexandria database, functional PBE.

a = 6.6159 Å, b = 6.6159 Å, c = 6.6159 Å
α = 60.00°, β = 60.00°, γ = 60.00°
Fractional coordinates of all 10 atoms:
Ca1 0.2500 0.2500 0.2500
Ca2 0.7500 0.7500 0.7500
Si1 0.0000 0.0000 0.0000
Ge1 0.5000 0.5000 0.5000
Pt1 0.2446 0.2446 0.7554
Pt2 0.2446 0.7554 0.2446
Pt3 0.2446 0.7554 0.7554
Pt4 0.7554 0.2446 0.2446
Pt5 0.7554 0.2446 0.7554
Pt6 0.7554 0.7554 0.2446

Properties
Raw formation energy: -0.44 eV/atom
Crystal system: cubic
E_tot: -5.468 eV per atom
N(E_F): 0.499 states/eV/atom

---

[2]
An optimized crystal structure of TlCuTeS3. Source: the Alexandria database, functional PBE.

a = 6.9001 Å, b = 6.9001 Å, c = 10.7698 Å
α = 90.00°, β = 90.00°, γ = 147.11°
Fractional coordinates of all 12 atoms:
Tl1 0.2241 0.7759 0.7500
Tl2 0.7759 0.2241 0.2500
Cu1 0.0772 0.9228 0.2500
Cu2 0.9228 0.0772 0.7500
Te1 0.5000 0.5000 0.0000
Te2 0.5000 0.5000 0.5000
S1 0.1341 0.8659 0.0473
S2 0.1341 0.8659 0.4527
S3 0.4700 0.5300 0.2500
S4 0.5300 0.4700 0.7500
S5 0.8659 0.1341 0.5473
S6 0.8659 0.1341 0.9527

Properties
Raw formation energy: -0.12 eV/atom
Crystal system: orthorhombic
E_tot: -3.787 eV per atom
N(E_F): 0.415 states/eV/atom

---

Which of these has the lowest N(E_F)? TlCuTeS3

---

Which of these has the highest N(E_F)? Ca2SiGePt6

---

Which value of E_tot does entry 1 give? -5.468 eV per atom

---

Repeat the first record exactly.
An optimized crystal structure of Ca2SiGePt6. Source: the Alexandria database, functional PBE.

a = 6.6159 Å, b = 6.6159 Å, c = 6.6159 Å
α = 60.00°, β = 60.00°, γ = 60.00°
Fractional coordinates of all 10 atoms:
Ca1 0.2500 0.2500 0.2500
Ca2 0.7500 0.7500 0.7500
Si1 0.0000 0.0000 0.0000
Ge1 0.5000 0.5000 0.5000
Pt1 0.2446 0.2446 0.7554
Pt2 0.2446 0.7554 0.2446
Pt3 0.2446 0.7554 0.7554
Pt4 0.7554 0.2446 0.2446
Pt5 0.7554 0.2446 0.7554
Pt6 0.7554 0.7554 0.2446

Properties
Raw formation energy: -0.44 eV/atom
Crystal system: cubic
E_tot: -5.468 eV per atom
N(E_F): 0.499 states/eV/atom